5
Lattice="-0.161 1.439 -3.665 -3.618 -3.099 -1.057 -7.565 4.300 2.021" Properties=species:S:1:pos:R:3 comment="Sr2Tl2Hg PBE-GGA optimized geometry" dos_ef_per_ev_atom=0.61 de_polymorph_mev_per_atom=48 formation_enthalpy_0k_ev_per_atom=-0.35 final_energy_ev_per_atom=-2.02 pbc="T T T"
Sr -3.190 0.492 -1.785
Sr -8.154 2.148 -0.916
Tl -5.284 1.982 1.011
Tl -5.899 -0.782 -0.047
Hg 0.000 0.000 0.000

=====

4
Lattice="4.157 -0.070 0.000 -0.137 4.156 0.000 0.000 0.000 7.228" Properties=species:S:1:pos:R:3 comment="SrTl2Hg PBE-GGA optimized geometry" dos_ef_per_ev_atom=0.64 formation_enthalpy_0k_ev_per_atom=-0.20 final_energy_ev_per_atom=-1.88 pbc="T T T"
Sr 2.010 2.043 5.421
Tl 0.000 0.000 0.204
Tl 0.000 0.000 3.410
Hg 2.010 2.043 1.807

=====

14
Lattice="-3.832 -0.583 2.045 1.075 -3.036 5.844 0.566 14.513 9.895" Properties=species:S:1:pos:R:3 comment="Sr3Tl3Hg PBE-GGA optimized geometry" dos_ef_per_ev_atom=0.47 formation_enthalpy_0k_ev_per_atom=-0.40 final_energy_ev_per_atom=-2.18 pbc="T T T"
Sr -1.201 7.619 9.313
Sr -1.523 8.466 13.647
Sr -0.989 3.275 8.471
Sr -0.668 2.427 4.137
Sr -0.637 12.299 11.705
Sr -1.554 -1.405 6.080
Tl -3.205 0.145 3.428
Tl 1.014 10.749 14.357
Tl -2.860 0.316 8.818
Tl -2.103 4.800 11.515
Tl -0.088 6.094 6.269
Tl 0.670 10.578 8.966
Hg 0.524 6.260 12.158
Hg -2.715 4.633 5.626

=====

10
Lattice="-0.702 -1.336 3.746 4.497 -3.039 -0.242 7.272 10.657 5.165" Properties=species:S:1:pos:R:3 comment="SrTl2Hg2 PBE-GGA optimized geometry" dos_ef_per_ev_atom=0.28 de_polymorph_mev_per_atom=43 formation_enthalpy_0k_ev_per_atom=-0.23 final_energy_ev_per_atom=-1.64 pbc="T T T"
Sr 6.098 6.160 6.606
Sr 4.968 0.121 2.063
Hg 7.938 4.274 4.101
Hg 3.129 2.008 4.568
Hg 8.005 9.078 5.827
Hg 3.061 -2.797 2.842
Tl 6.279 1.762 5.071
Tl 9.566 6.535 5.212
Tl 4.787 4.520 3.598
Tl 1.501 -0.253 3.456

=====

7
Lattice="-1.156 -5.405 -2.812 3.617 -2.912 4.111 -5.253 -5.314 5.535" Properties=species:S:1:pos:R:3 comment="Sr4Tl2Hg PBE-GGA optimized geometry" dos_ef_per_ev_atom=1.23 de_polymorph_mev_per_atom=195 formation_enthalpy_0k_ev_per_atom=-0.17 final_energy_ev_per_atom=-1.86 pbc="T T T"
Sr -0.093 -8.772 3.223
Sr -2.699 -4.859 3.610
Sr -0.578 -2.703 -1.406
Sr 1.808 -1.456 2.055
Hg 0.000 0.000 0.000
Tl -2.703 -9.237 5.190
Tl -0.089 -4.394 1.643

=====

5
Lattice="-0.801 0.575 -6.425 -4.753 -4.430 0.196 -5.854 1.404 -2.433" Properties=species:S:1:pos:R:3 comment="Sr2Tl2Hg PBE-GGA optimized geometry" dos_ef_per_ev_atom=0.57 de_polymorph_mev_per_atom=244 formation_enthalpy_0k_ev_per_atom=-0.15 final_energy_ev_per_atom=-1.83 pbc="T T T"
Sr -6.692 -2.477 -2.676
Sr -4.716 0.026 -5.987
Tl -3.739 -0.886 -2.902
Tl -7.669 -1.565 -5.761
Hg 0.000 0.000 0.000

=====

20
Lattice="-2.051 5.832 -7.118 -4.619 -8.136 -1.173 -2.613 3.951 8.152" Properties=species:S:1:pos:R:3 comment="Sr3Tl4Hg3 PBE-GGA optimized geometry" dos_ef_per_ev_atom=0.51 formation_enthalpy_0k_ev_per_atom=-0.31 final_energy_ev_per_atom=-1.86 pbc="T T T"
Sr -4.881 -5.167 -1.787
Sr -5.404 0.771 -3.015
Sr -2.642 -1.334 0.709
Sr -4.582 5.538 -1.427
Sr -3.306 4.133 3.298
Sr -7.032 1.000 1.805
Hg -5.976 -2.486 -3.437
Hg -4.402 6.814 1.648
Hg -6.641 2.982 -0.847
Hg -3.878 0.876 2.876
Hg -2.250 0.647 -1.944
Hg -4.700 -3.891 1.288
Tl -5.481 -1.761 3.462
Tl -6.022 -1.609 -0.420
Tl -3.948 0.593 -6.274
Tl -2.088 3.157 6.514
Tl -2.890 3.247 -3.587
Tl -3.713 2.458 0.166
Tl -0.781 1.181 2.438
Tl -2.923 -2.324 -2.715

=====

6
Lattice="-4.058 -1.069 4.581 1.935 -2.518 5.339 0.176 3.438 5.171" Properties=species:S:1:pos:R:3 comment="SrTlHg4 PBE-GGA optimized geometry" dos_ef_per_ev_atom=0.35 de_polymorph_mev_per_atom=39 formation_enthalpy_0k_ev_per_atom=-0.23 final_energy_ev_per_atom=-1.11 pbc="T T T"
Hg 0.815 0.442 7.141
Hg -1.217 -0.093 9.436
Hg -1.306 -1.815 6.845
Hg -2.186 1.168 6.761
Sr -0.487 -0.037 3.773
Tl 0.000 0.000 0.000

=====

10
Lattice="8.804 0.000 0.000 0.000 8.804 0.000 0.000 0.000 3.945" Properties=species:S:1:pos:R:3 comment="SrTl2Hg2 PBE-GGA optimized geometry" dos_ef_per_ev_atom=0.55 de_polymorph_mev_per_atom=109 formation_enthalpy_0k_ev_per_atom=-0.17 final_energy_ev_per_atom=-1.57 pbc="T T T"
Tl 3.259 7.661 0.000
Tl 7.661 5.545 0.000
Tl 5.545 1.143 0.000
Tl 1.143 3.259 0.000
Hg 5.879 7.327 1.972
Hg 2.925 1.477 1.972
Hg 1.477 5.879 1.972
Hg 7.327 2.925 1.972
Sr 0.000 0.000 0.000
Sr 4.402 4.402 0.000

=====

30
Lattice="-2.032 -3.604 1.555 10.569 -5.379 -4.940 7.812 1.908 14.634" Properties=species:S:1:pos:R:3 comment="Sr4Tl5Hg6 PBE-GGA optimized geometry" dos_ef_per_ev_atom=0.57 formation_enthalpy_0k_ev_per_atom=-0.32 final_energy_ev_per_atom=-1.67 pbc="T T T"
Tl 3.294 -4.103 1.078
Tl 14.452 -3.388 11.033
Tl 8.569 -2.847 10.885
Tl 0.830 -1.848 3.084
Tl 5.801 -5.998 -0.040
Tl 8.434 -4.069 1.590
Tl 8.507 -1.576 7.465
Tl 11.036 -3.466 6.389
Tl 14.308 -5.524 5.895
Tl 5.190 -2.883 6.384
Hg 5.919 -2.037 9.298
Hg 11.679 -4.103 12.037
Hg 8.709 -5.459 -1.272
Hg 7.893 -1.126 13.990
Hg 5.623 -4.565 3.050
Hg 7.496 -2.282 4.506
Hg 11.385 -6.598 5.869
Hg 11.294 -2.372 9.263
Hg 2.336 -1.119 0.459
Hg 2.385 -1.559 5.787
Hg 11.544 -5.195 3.045
Hg 15.681 -5.097 8.677
Sr 4.673 0.512 7.294
Sr 12.257 -5.720 9.042
Sr 7.348 0.611 11.021
Sr 8.040 -8.476 -2.858
Sr 11.123 -0.900 12.451
Sr 8.491 -5.378 4.913
Sr 4.542 -1.245 3.050
Sr 9.602 -7.540 1.354

=====

6
Lattice="4.058 0.000 0.000 0.000 4.058 0.000 0.000 0.000 12.318" Properties=species:S:1:pos:R:3 comment="Sr3Tl2Hg PBE-GGA optimized geometry" dos_ef_per_ev_atom=0.59 formation_enthalpy_0k_ev_per_atom=-0.47 final_energy_ev_per_atom=-2.15 pbc="T T T"
Hg 2.029 2.029 6.159
Sr 0.000 0.000 8.147
Sr 0.000 0.000 0.000
Sr 0.000 0.000 4.171
Tl 2.029 2.029 10.270
Tl 2.029 2.029 2.048

=====

10
Lattice="4.050 0.000 0.000 0.000 4.050 0.000 0.000 0.000 17.864" Properties=species:S:1:pos:R:3 comment="SrTl4Hg5 PBE-GGA optimized geometry" dos_ef_per_ev_atom=0.59 de_polymorph_mev_per_atom=0 formation_enthalpy_0k_ev_per_atom=-0.13 final_energy_ev_per_atom=-1.40 pbc="T T T"
Tl 0.000 0.000 10.728
Tl 0.000 0.000 3.611
Tl 0.000 0.000 14.253
Tl 0.000 0.000 7.137
Sr 0.000 0.000 0.000
Hg 2.025 2.025 12.523
Hg 2.025 2.025 8.932
Hg 2.025 2.025 5.341
Hg 2.025 2.025 16.018
Hg 2.025 2.025 1.847

=====

4
Lattice="-3.845 -3.058 -2.700 -0.805 -5.441 1.082 -4.474 -1.503 2.649" Properties=species:S:1:pos:R:3 comment="SrTl2Hg PBE-GGA optimized geometry" dos_ef_per_ev_atom=0.26 formation_enthalpy_0k_ev_per_atom=-0.30 final_energy_ev_per_atom=-1.98 pbc="T T T"
Hg -4.562 -5.001 0.515
Tl -6.843 -7.500 0.774
Tl -9.124 -10.001 1.031
Sr -2.281 -2.500 0.258

=====

7
Lattice="-3.563 0.978 4.181 2.592 -3.840 3.108 5.745 7.466 -0.574" Properties=species:S:1:pos:R:3 comment="Sr2TlHg4 PBE-GGA optimized geometry" dos_ef_per_ev_atom=0.73 de_polymorph_mev_per_atom=208 formation_enthalpy_0k_ev_per_atom=-0.12 final_energy_ev_per_atom=-1.11 pbc="T T T"
Hg 2.840 2.384 5.585
Hg -1.781 0.489 2.090
Hg 1.935 2.220 1.129
Hg 1.296 -1.920 1.554
Sr 3.923 4.501 2.290
Sr 0.851 0.102 4.424
Tl 0.000 0.000 0.000

=====

5
Lattice="-3.020 0.383 3.091 2.666 -1.908 2.841 3.413 7.884 5.404" Properties=species:S:1:pos:R:3 comment="Sr2Tl2Hg PBE-GGA optimized geometry" dos_ef_per_ev_atom=0.88 de_polymorph_mev_per_atom=176 formation_enthalpy_0k_ev_per_atom=-0.22 final_energy_ev_per_atom=-1.90 pbc="T T T"
Tl 2.951 2.606 5.606
Tl 0.108 3.752 5.731
Sr 0.522 0.921 3.441
Sr 2.537 5.437 7.896
Hg 0.000 0.000 0.000

=====

8
Lattice="5.312 0.000 1.568 2.424 4.726 1.568 -0.008 -0.005 9.808" Properties=species:S:1:pos:R:3 comment="Sr3TlHg4 PBE-GGA optimized geometry" dos_ef_per_ev_atom=0.62 formation_enthalpy_0k_ev_per_atom=-0.45 final_energy_ev_per_atom=-1.53 pbc="T T T"
Hg 2.923 1.786 9.661
Hg 4.806 2.936 3.283
Hg 6.738 4.116 6.519
Hg 0.991 0.605 6.425
Tl 0.000 0.000 0.000
Sr 3.864 2.361 6.472
Sr 1.993 1.217 3.030
Sr 5.735 3.504 9.914

=====

10
Lattice="-5.164 -3.279 -2.162 -0.968 -6.931 3.091 -6.454 1.144 3.946" Properties=species:S:1:pos:R:3 comment="SrTl4Hg5 PBE-GGA optimized geometry" dos_ef_per_ev_atom=0.46 de_polymorph_mev_per_atom=35 formation_enthalpy_0k_ev_per_atom=-0.10 final_energy_ev_per_atom=-1.37 pbc="T T T"
Hg -6.122 -2.883 0.572
Hg -3.625 -2.302 -1.517
Hg -1.941 -4.259 2.408
Hg -10.090 -4.455 2.700
Hg -5.909 -5.831 4.536
Tl -3.553 -1.603 2.080
Tl -8.557 -7.161 2.995
Tl -7.212 -3.184 3.485
Tl -4.898 -5.580 1.590
Sr -1.073 -0.681 -0.449

=====

9
Lattice="-0.776 3.394 5.233 -4.839 -4.443 2.292 1.754 -5.465 3.932" Properties=species:S:1:pos:R:3 comment="Sr2TlHg6 PBE-GGA optimized geometry" dos_ef_per_ev_atom=0.57 formation_enthalpy_0k_ev_per_atom=-0.32 final_energy_ev_per_atom=-1.16 pbc="T T T"
Hg -0.597 -4.975 5.795
Hg -0.287 -2.000 6.403
Hg -2.766 -6.940 6.791
Hg -3.263 -1.539 5.662
Hg -1.095 0.427 4.666
Hg -3.573 -4.513 5.055
Sr -2.692 -3.784 8.461
Sr -1.169 -2.730 2.996
Tl 0.000 0.000 0.000

=====

14
Lattice="4.542 0.000 0.684 2.223 6.342 0.661 -0.122 0.309 16.229" Properties=species:S:1:pos:R:3 comment="Sr3TlHg3 PBE-GGA optimized geometry" dos_ef_per_ev_atom=0.78 formation_enthalpy_0k_ev_per_atom=-0.45 final_energy_ev_per_atom=-1.64 pbc="T T T"
Hg 6.233 5.075 4.878
Hg 1.159 1.984 7.726
Hg 2.291 5.689 15.632
Hg 4.353 0.961 1.943
Hg 5.485 4.667 9.848
Hg 0.410 1.575 12.697
Tl 3.604 0.523 6.911
Tl 3.039 6.127 10.663
Sr 2.318 2.179 15.451
Sr 4.326 4.471 2.123
Sr 3.046 2.387 10.620
Sr 1.715 1.577 4.032
Sr 3.598 4.264 6.955
Sr 4.928 5.073 13.543

=====

10
Lattice="-3.911 0.355 -1.966 -0.821 -8.430 0.113 -3.807 -0.048 7.566" Properties=species:S:1:pos:R:3 comment="Sr3Tl3Hg4 PBE-GGA optimized geometry" dos_ef_per_ev_atom=0.72 formation_enthalpy_0k_ev_per_atom=-0.35 final_energy_ev_per_atom=-1.69 pbc="T T T"
Sr -3.264 -6.885 0.345
Sr -5.105 -5.418 4.272
Sr -3.510 -2.496 1.626
Tl -2.694 -8.367 3.850
Tl -5.242 -1.334 5.282
Tl -0.455 -4.265 0.135
Hg -2.741 -3.042 4.904
Hg -3.991 -7.567 6.574
Hg -1.946 -5.273 2.920
Hg -0.527 -1.222 0.827

=====

7
Lattice="-1.138 3.058 4.516 -5.196 0.186 2.001 -0.577 -5.080 6.731" Properties=species:S:1:pos:R:3 comment="SrTl4Hg2 PBE-GGA optimized geometry" dos_ef_per_ev_atom=0.46 de_polymorph_mev_per_atom=0 formation_enthalpy_0k_ev_per_atom=-0.18 final_energy_ev_per_atom=-1.86 pbc="T T T"
Tl -1.269 -2.303 4.676
Tl -3.107 -2.317 7.659
Tl -3.804 0.480 5.589
Tl -5.642 0.466 8.572
Hg -5.030 -1.990 10.389
Hg -1.880 0.154 2.858
Sr 0.000 0.000 0.000

=====

14
Lattice="-7.050 6.638 0.405 -3.673 -1.202 5.346 9.562 4.064 -1.068" Properties=species:S:1:pos:R:3 comment="Sr2Tl4Hg PBE-GGA optimized geometry" dos_ef_per_ev_atom=0.48 formation_enthalpy_0k_ev_per_atom=-0.28 final_energy_ev_per_atom=-2.15 pbc="T T T"
Hg -4.792 5.597 1.755
Hg 3.631 3.902 2.928
Tl -2.508 3.996 3.400
Tl -0.929 3.305 0.425
Tl -0.232 6.195 4.258
Tl -1.772 6.703 1.433
Tl -0.582 0.210 1.673
Tl 1.347 5.504 1.283
Tl -0.579 9.290 3.010
Tl 0.611 2.797 3.250
Sr -3.663 7.315 4.523
Sr -6.774 3.983 3.995
Sr 2.502 2.184 0.160
Sr 5.613 5.516 0.688